Entry 1:
# GGA-PBE BaCdAu, optimized geometry
# M_tot: 0.0 μB/f.u.
# formation energy: -0.43 eV per atom
data_BaCdAu
_chemical_formula_sum 'Ba2 Cd2 Au2'
_cell_length_a 3.9337
_cell_length_b 3.9337
_cell_length_c 11.4390
_cell_angle_alpha 90.00
_cell_angle_beta 90.00
_cell_angle_gamma 90.00
_symmetry_space_group_name_H-M 'I 4 m m'
_symmetry_Int_Tables_number 107
_symmetry_space_group_name_Hall 'I 4 -2'
loop_
_atom_site_label
_atom_site_fract_x
_atom_site_fract_y
_atom_site_fract_z
_atom_site_occupancy
Ba1 0.0000 0.0000 0.0000 1
Cd1 0.0000 0.0000 0.7046 1
Au1 0.0000 0.0000 0.3147 1

Entry 2:
# GGA-PBE ZrTi2O, optimized geometry
# E_form (uncorrected): -0.80 eV/atom
# M_tot: 0.0 μB/f.u.
data_ZrTi2O
_chemical_formula_sum 'Zr1 Ti2 O1'
_cell_length_a 2.7529
_cell_length_b 2.7529
_cell_length_c 7.7018
_cell_angle_alpha 90.00
_cell_angle_beta 90.00
_cell_angle_gamma 90.00
_symmetry_space_group_name_H-M 'P 4/m m m'
_symmetry_Int_Tables_number 123
_symmetry_space_group_name_Hall '-P 4 2'
loop_
_atom_site_label
_atom_site_fract_x
_atom_site_fract_y
_atom_site_fract_z
_atom_site_occupancy
Zr1 0.0000 0.0000 0.0000 1
Ti1 0.5000 0.5000 0.3240 1
O1 0.0000 0.0000 0.5000 1

Entry 3:
# GGA-PBE SmScCoRh, optimized geometry
# M_tot: 0.5 μB/f.u.
# formation energy: -0.45 eV per atom
data_SmScCoRh
_chemical_formula_sum 'Sm4 Sc4 Co4 Rh4'
_cell_length_a 6.6617
_cell_length_b 6.6617
_cell_length_c 6.6617
_cell_angle_alpha 90.00
_cell_angle_beta 90.00
_cell_angle_gamma 90.00
_symmetry_space_group_name_H-M 'F -4 3 m'
_symmetry_Int_Tables_number 216
_symmetry_space_group_name_Hall 'F -4 2 3'
loop_
_atom_site_label
_atom_site_fract_x
_atom_site_fract_y
_atom_site_fract_z
_atom_site_occupancy
Sm1 0.0000 0.0000 0.0000 1
Sc1 0.0000 0.0000 0.5000 1
Co1 0.2500 0.2500 0.7500 1
Rh1 0.2500 0.2500 0.2500 1

Entry 4:
# GGA-PBE Sm4CoI5, optimized geometry
# E_form (uncorrected): -1.05 eV/atom
# M_tot: 0.0 μB/f.u.
data_Sm4CoI5
_chemical_formula_sum 'Sm8 Co2 I10'
_cell_length_a 19.6579
_cell_length_b 4.1310
_cell_length_c 9.0206
_cell_angle_alpha 90.00
_cell_angle_beta 102.83
_cell_angle_gamma 90.00
_symmetry_space_group_name_H-M 'C 1 2/m 1'
_symmetry_Int_Tables_number 12
_symmetry_space_group_name_Hall '-C 2y'
loop_
_atom_site_label
_atom_site_fract_x
_atom_site_fract_y
_atom_site_fract_z
_atom_site_occupancy
Sm1 0.9995 0.0000 0.1993 1
Sm2 0.1412 0.5000 0.0740 1
Co1 0.0000 0.5000 0.0000 1
I1 0.0000 0.5000 0.5000 1
I2 0.1671 0.0000 0.3462 1
I3 0.1751 0.0000 0.8274 1

Entry 5:
# GGA-PBE Sr5La, optimized geometry
# M_tot: 0.0 μB/f.u.
# formation energy: 0.09 eV per atom
data_Sr5La
_chemical_formula_sum 'Sr10 La2'
_cell_length_a 6.6252
_cell_length_b 19.8793
_cell_length_c 4.5307
_cell_angle_alpha 90.00
_cell_angle_beta 90.00
_cell_angle_gamma 90.00
_symmetry_space_group_name_H-M 'C m m m'
_symmetry_Int_Tables_number 65
_symmetry_space_group_name_Hall '-C 2 2'
loop_
_atom_site_label
_atom_site_fract_x
_atom_site_fract_y
_atom_site_fract_z
_atom_site_occupancy
Sr1 0.0000 0.0000 0.0000 1
Sr2 0.0000 0.1670 0.5000 1
Sr3 0.0000 0.3409 0.0000 1
La1 0.0000 0.5000 0.5000 1

Entry 6:
# GGA-PBE Pm3NiAu2, optimized geometry
# M_tot: 0.0 μB/f.u.
# formation energy: -0.62 eV per atom
data_Pm3NiAu2
_chemical_formula_sum 'Pm12 Ni4 Au8'
_cell_length_a 12.1855
_cell_length_b 4.5184
_cell_length_c 10.8572
_cell_angle_alpha 90.00
_cell_angle_beta 90.00
_cell_angle_gamma 90.00
_symmetry_space_group_name_H-M 'P n m a'
_symmetry_Int_Tables_number 62
_symmetry_space_group_name_Hall '-P 2ac 2n'
loop_
_atom_site_label
_atom_site_fract_x
_atom_site_fract_y
_atom_site_fract_z
_atom_site_occupancy
Pm1 0.0533 0.2500 0.1220 1
Pm2 0.1110 0.7500 0.5610 1
Pm3 0.2370 0.2500 0.7919 1
Ni1 0.1229 0.2500 0.3693 1
Au1 0.0047 0.7500 0.3023 1
Au2 0.1952 0.7500 0.0005 1

Entry 7:
# GGA-PBE Cr2FeRe, optimized geometry
# M_tot: 0.0 μB/f.u.
# formation energy: 0.20 eV per atom
data_Cr2FeRe
_chemical_formula_sum 'Cr2 Fe1 Re1'
_cell_length_a 2.6115
_cell_length_b 3.6152
_cell_length_c 5.2181
_cell_angle_alpha 90.00
_cell_angle_beta 90.00
_cell_angle_gamma 90.00
_symmetry_space_group_name_H-M 'P m m 2'
_symmetry_Int_Tables_number 25
_symmetry_space_group_name_Hall 'P 2 -2'
loop_
_atom_site_label
_atom_site_fract_x
_atom_site_fract_y
_atom_site_fract_z
_atom_site_occupancy
Cr1 0.0000 0.0000 0.0000 1
Cr2 0.5000 0.5000 0.2417 1
Fe1 0.0000 0.0000 0.4725 1
Re1 0.5000 0.5000 0.7336 1

Entry 8:
# GGA-PBE CaFe2Cu, optimized geometry
# M_tot: 5.2 μB/f.u.
# formation energy: 0.64 eV per atom
data_CaFe2Cu
_chemical_formula_sum 'Ca4 Fe8 Cu4'
_cell_length_a 6.3337
_cell_length_b 6.3337
_cell_length_c 6.3337
_cell_angle_alpha 90.00
_cell_angle_beta 90.00
_cell_angle_gamma 90.00
_symmetry_space_group_name_H-M 'F m -3 m'
_symmetry_Int_Tables_number 225
_symmetry_space_group_name_Hall '-F 4 2 3'
loop_
_atom_site_label
_atom_site_fract_x
_atom_site_fract_y
_atom_site_fract_z
_atom_site_occupancy
Ca1 0.0000 0.0000 0.0000 1
Fe1 0.2500 0.2500 0.2500 1
Cu1 0.0000 0.0000 0.5000 1

Number 1: D(E_F) 3.328 states/eV per cell. Number 2: D(E_F) 4.617 states/eV per cell. Number 3: D(E_F) 6.790 states/eV per cell. Number 4: D(E_F) 12.808 states/eV per cell. Number 5: D(E_F) 13.166 states/eV per cell. Number 6: D(E_F) 21.607 states/eV per cell. Number 7: D(E_F) 4.569 states/eV per cell. Number 8: D(E_F) 9.280 states/eV per cell.